## 1
A plane-wave DFT calculation with PBE with a Hubbard U was carried out for a geometry-optimized Fe8H10O17 structure.

The structure in CIF format:
```
data_Fe8H10O17
_symmetry_space_group_name_H-M 'P 1'
_symmetry_Int_Tables_number 1
_cell_length_a 6.016
_cell_length_b 9.938
_cell_length_c 10.624
_cell_angle_alpha 85.44
_cell_angle_beta 89.82
_cell_angle_gamma 89.84
loop_
_symmetry_equiv_pos_as_xyz
'x,y,z'
loop_
_atom_site_label
_atom_site_type_symbol
_atom_site_fract_x
_atom_site_fract_y
_atom_site_fract_z
_atom_site_occupancy
Fe1 Fe 0.000 0.000 0.000 1
Fe2 Fe 0.000 0.428 0.809 1
Fe3 Fe 0.002 0.159 0.495 1
Fe4 Fe 0.004 0.659 0.286 1
Fe5 Fe 0.246 0.984 0.289 1
Fe6 Fe 0.249 0.468 0.507 1
Fe7 Fe 0.255 0.129 0.771 1
Fe8 Fe 0.268 0.466 0.118 1
Fe9 Fe 0.496 0.660 0.284 1
Fe10 Fe 0.498 0.463 0.810 1
Fe11 Fe 0.504 0.157 0.487 1
Fe12 Fe 0.513 0.002 0.005 1
Fe13 Fe 0.717 0.641 0.985 1
Fe14 Fe 0.750 0.479 0.510 1
Fe15 Fe 0.750 0.979 0.296 1
Fe16 Fe 0.760 0.128 0.775 1
H1 H 0.022 0.905 0.776 1
H2 H 0.049 0.257 0.122 1
H3 H 0.109 0.690 0.054 1
H4 H 0.159 0.654 0.746 1
H5 H 0.197 0.245 0.295 1
H6 H 0.202 0.749 0.853 1
H7 H 0.258 0.832 0.108 1
H8 H 0.271 0.242 0.964 1
H9 H 0.488 0.660 0.572 1
H10 H 0.510 0.906 0.778 1
H11 H 0.512 0.293 0.663 1
H12 H 0.515 0.892 0.490 1
H13 H 0.536 0.241 0.143 1
H14 H 0.650 0.367 0.060 1
H15 H 0.682 0.673 0.757 1
H16 H 0.723 0.447 0.262 1
H17 H 0.749 0.826 0.117 1
H18 H 0.784 0.239 0.295 1
H19 H 0.985 0.865 0.470 1
H20 H 0.997 0.673 0.560 1
O1 O 0.006 0.247 0.766 1
O2 O 0.011 0.995 0.809 1
O3 O 0.012 0.618 0.094 1
O4 O 0.078 0.325 0.182 1
O5 O 0.085 0.726 0.794 1
O6 O 0.242 0.508 0.694 1
O7 O 0.244 0.172 0.365 1
O8 O 0.246 0.871 0.018 1
O9 O 0.252 0.788 0.268 1
O10 O 0.256 0.108 0.599 1
O11 O 0.257 0.421 0.941 1
O12 O 0.259 0.525 0.302 1
O13 O 0.266 0.142 0.957 1
O14 O 0.477 0.609 0.097 1
O15 O 0.501 0.617 0.493 1
O16 O 0.504 0.966 0.425 1
O17 O 0.504 0.998 0.806 1
O18 O 0.505 0.261 0.757 1
O19 O 0.505 0.345 0.516 1
O20 O 0.509 0.032 0.183 1
O21 O 0.559 0.340 0.140 1
O22 O 0.566 0.687 0.820 1
O23 O 0.744 0.522 0.316 1
O24 O 0.744 0.844 0.022 1
O25 O 0.745 0.788 0.270 1
O26 O 0.751 0.109 0.599 1
O27 O 0.755 0.457 0.934 1
O28 O 0.757 0.494 0.688 1
O29 O 0.758 0.166 0.361 1
O30 O 0.761 0.121 0.959 1
O31 O 0.991 0.359 0.498 1
O32 O 0.991 0.624 0.485 1
O33 O 0.992 0.021 0.179 1
O34 O 0.993 0.951 0.421 1
```

Summary:
Size of the total moment: 46.00 μB/cell
Mass density: 3.8 g/cm³

***

## 2
A plane-wave DFT calculation with PBE with a Hubbard U was carried out for a geometry-optimized Fe8H10O17 structure.

The structure in CIF format:
```
data_Fe8H10O17
_symmetry_space_group_name_H-M 'P 1'
_symmetry_Int_Tables_number 1
_cell_length_a 5.996
_cell_length_b 10.147
_cell_length_c 10.579
_cell_angle_alpha 83.67
_cell_angle_beta 89.84
_cell_angle_gamma 89.33
loop_
_symmetry_equiv_pos_as_xyz
'x,y,z'
loop_
_atom_site_label
_atom_site_type_symbol
_atom_site_fract_x
_atom_site_fract_y
_atom_site_fract_z
_atom_site_occupancy
Fe1 Fe 0.000 0.000 0.000 1
Fe2 Fe 0.000 0.350 0.726 1
Fe3 Fe 0.004 0.536 0.192 1
Fe4 Fe 0.017 0.840 0.517 1
Fe5 Fe 0.238 0.487 0.491 1
Fe6 Fe 0.250 0.320 0.021 1
Fe7 Fe 0.258 0.852 0.220 1
Fe8 Fe 0.263 0.034 0.708 1
Fe9 Fe 0.491 0.343 0.732 1
Fe10 Fe 0.503 0.519 0.196 1
Fe11 Fe 0.509 0.999 0.413 1
Fe12 Fe 0.515 0.000 0.004 1
Fe13 Fe 0.750 0.330 0.021 1
Fe14 Fe 0.758 0.490 0.491 1
Fe15 Fe 0.764 0.847 0.225 1
Fe16 Fe 0.765 0.026 0.706 1
H1 H 0.004 0.670 0.378 1
H2 H 0.006 0.078 0.291 1
H3 H 0.017 0.271 0.226 1
H4 H 0.026 0.130 0.432 1
H5 H 0.089 0.816 0.755 1
H6 H 0.196 0.577 0.714 1
H7 H 0.256 0.157 0.887 1
H8 H 0.279 0.556 0.971 1
H9 H 0.293 0.769 0.013 1
H10 H 0.495 0.702 0.525 1
H11 H 0.502 0.258 0.232 1
H12 H 0.504 0.687 0.341 1
H13 H 0.509 0.284 0.473 1
H14 H 0.594 0.776 0.805 1
H15 H 0.717 0.192 0.354 1
H16 H 0.724 0.554 0.745 1
H17 H 0.733 0.589 0.978 1
H18 H 0.753 0.806 0.957 1
H19 H 0.755 0.183 0.852 1
H20 H 0.841 0.723 0.772 1
O1 O 0.001 0.361 0.906 1
O2 O 0.002 0.640 0.475 1
O3 O 0.006 0.330 0.142 1
O4 O 0.010 0.722 0.236 1
O5 O 0.010 0.975 0.185 1
O6 O 0.010 0.979 0.821 1
O7 O 0.011 0.016 0.589 1
O8 O 0.061 0.749 0.696 1
O9 O 0.237 0.487 0.692 1
O10 O 0.248 0.222 0.742 1
O11 O 0.250 0.483 0.307 1
O12 O 0.259 0.125 0.983 1
O13 O 0.259 0.882 0.401 1
O14 O 0.263 0.578 0.059 1
O15 O 0.278 0.861 0.033 1
O16 O 0.494 0.372 0.911 1
O17 O 0.496 0.321 0.146 1
O18 O 0.497 0.621 0.483 1
O19 O 0.501 0.359 0.530 1
O20 O 0.506 0.717 0.245 1
O21 O 0.510 0.973 0.196 1
O22 O 0.514 0.016 0.594 1
O23 O 0.515 0.980 0.825 1
O24 O 0.550 0.188 0.361 1
O25 O 0.701 0.703 0.828 1
O26 O 0.743 0.478 0.695 1
O27 O 0.744 0.137 0.987 1
O28 O 0.752 0.530 0.057 1
O29 O 0.756 0.879 0.413 1
O30 O 0.757 0.215 0.752 1
O31 O 0.757 0.485 0.309 1
O32 O 0.759 0.867 0.023 1
O33 O 0.996 0.158 0.341 1
O34 O 0.996 0.365 0.541 1
```

Summary:
Size of the total moment: 5.89 μB/cell
Mass density: 3.8 g/cm³

***

## 3
A plane-wave DFT calculation with PBE with a Hubbard U was carried out for a geometry-optimized Fe8H10O17 structure.

The structure in CIF format:
```
data_Fe8H10O17
_symmetry_space_group_name_H-M 'P 1'
_symmetry_Int_Tables_number 1
_cell_length_a 6.048
_cell_length_b 10.213
_cell_length_c 10.780
_cell_angle_alpha 87.98
_cell_angle_beta 89.78
_cell_angle_gamma 89.30
loop_
_symmetry_equiv_pos_as_xyz
'x,y,z'
loop_
_atom_site_label
_atom_site_type_symbol
_atom_site_fract_x
_atom_site_fract_y
_atom_site_fract_z
_atom_site_occupancy
Fe1 Fe 0.000 0.000 0.000 1
Fe2 Fe 0.001 0.502 0.210 1
Fe3 Fe 0.230 0.001 0.681 1
Fe4 Fe 0.246 0.522 0.498 1
Fe5 Fe 0.248 0.817 0.220 1
Fe6 Fe 0.250 0.306 0.027 1
Fe7 Fe 0.481 0.218 0.547 1
Fe8 Fe 0.486 0.826 0.510 1
Fe9 Fe 0.498 0.999 0.978 1
Fe10 Fe 0.503 0.509 0.215 1
Fe11 Fe 0.729 0.007 0.686 1
Fe12 Fe 0.745 0.521 0.515 1
Fe13 Fe 0.747 0.813 0.228 1
Fe14 Fe 0.762 0.306 0.026 1
Fe15 Fe 0.940 0.323 0.700 1
Fe16 Fe 0.989 0.824 0.511 1
H1 H 0.020 0.028 0.244 1
H2 H 0.106 0.277 0.469 1
H3 H 0.246 0.746 0.699 1
H4 H 0.251 0.304 0.358 1
H5 H 0.267 0.793 0.941 1
H6 H 0.270 0.582 0.015 1
H7 H 0.285 0.200 0.780 1
H8 H 0.390 0.510 0.834 1
H9 H 0.433 0.598 0.716 1
H10 H 0.478 0.016 0.254 1
H11 H 0.533 0.240 0.221 1
H12 H 0.541 0.292 0.831 1
H13 H 0.685 0.489 0.781 1
H14 H 0.724 0.582 0.014 1
H15 H 0.736 0.316 0.364 1
H16 H 0.739 0.723 0.678 1
H17 H 0.743 0.788 0.953 1
H18 H 0.827 0.167 0.405 1
H19 H 0.986 0.870 0.805 1
H20 H 0.994 0.447 0.877 1
O1 O 0.002 0.956 0.189 1
O2 O 0.004 0.309 0.143 1
O3 O 0.006 0.393 0.541 1
O4 O 0.006 0.697 0.205 1
O5 O 0.011 0.351 0.889 1
O6 O 0.217 0.197 0.698 1
O7 O 0.220 0.227 0.417 1
O8 O 0.238 0.818 0.637 1
O9 O 0.241 0.847 0.401 1
O10 O 0.245 0.122 0.989 1
O11 O 0.252 0.467 0.319 1
O12 O 0.253 0.858 0.004 1
O13 O 0.260 0.505 0.070 1
O14 O 0.366 0.600 0.800 1
O15 O 0.470 0.021 0.561 1
O16 O 0.482 0.985 0.799 1
O17 O 0.488 0.405 0.547 1
O18 O 0.489 0.639 0.527 1
O19 O 0.489 0.953 0.188 1
O20 O 0.494 0.697 0.206 1
O21 O 0.507 0.303 0.152 1
O22 O 0.508 0.352 0.900 1
O23 O 0.692 0.219 0.389 1
O24 O 0.703 0.207 0.685 1
O25 O 0.737 0.847 0.398 1
O26 O 0.738 0.810 0.636 1
O27 O 0.748 0.508 0.071 1
O28 O 0.748 0.859 0.011 1
O29 O 0.750 0.120 0.994 1
O30 O 0.751 0.465 0.325 1
O31 O 0.810 0.506 0.726 1
O32 O 0.980 0.007 0.569 1
O33 O 0.994 0.965 0.809 1
O34 O 0.995 0.637 0.507 1
```

Summary:
Size of the total moment: 59.96 μB/cell
Mass density: 3.6 g/cm³

***

## 4
A plane-wave DFT calculation with PBE with a Hubbard U was carried out for a geometry-optimized Fe8H10O17 structure.

The structure in CIF format:
```
data_Fe8H10O17
_symmetry_space_group_name_H-M 'P 1'
_symmetry_Int_Tables_number 1
_cell_length_a 6.039
_cell_length_b 10.324
_cell_length_c 10.577
_cell_angle_alpha 88.77
_cell_angle_beta 89.95
_cell_angle_gamma 89.94
loop_
_symmetry_equiv_pos_as_xyz
'x,y,z'
loop_
_atom_site_label
_atom_site_type_symbol
_atom_site_fract_x
_atom_site_fract_y
_atom_site_fract_z
_atom_site_occupancy
Fe1 Fe 0.000 0.000 0.000 1
Fe2 Fe 0.001 0.481 0.172 1
Fe3 Fe 0.006 0.305 0.662 1
Fe4 Fe 0.158 0.125 0.460 1
Fe5 Fe 0.236 0.783 0.180 1
Fe6 Fe 0.245 0.505 0.468 1
Fe7 Fe 0.250 0.302 0.968 1
Fe8 Fe 0.466 0.826 0.456 1
Fe9 Fe 0.477 0.295 0.662 1
Fe10 Fe 0.499 0.483 0.173 1
Fe11 Fe 0.504 0.997 0.001 1
Fe12 Fe 0.745 0.492 0.464 1
Fe13 Fe 0.748 0.794 0.177 1
Fe14 Fe 0.750 0.288 0.979 1
Fe15 Fe 0.782 0.006 0.667 1
Fe16 Fe 0.987 0.814 0.481 1
H1 H 0.027 0.505 0.921 1
H2 H 0.046 0.572 0.660 1
H3 H 0.088 0.853 0.724 1
H4 H 0.260 0.873 0.896 1
H5 H 0.264 0.049 0.193 1
H6 H 0.276 0.275 0.222 1
H7 H 0.388 0.067 0.732 1
H8 H 0.492 0.145 0.310 1
H9 H 0.493 0.502 0.912 1
H10 H 0.497 0.561 0.674 1
H11 H 0.498 0.757 0.753 1
H12 H 0.537 0.742 0.965 1
H13 H 0.724 0.679 0.589 1
H14 H 0.753 0.423 0.780 1
H15 H 0.759 0.743 0.751 1
H16 H 0.764 0.881 0.873 1
H17 H 0.783 0.277 0.232 1
H18 H 0.785 0.241 0.467 1
H19 H 0.798 0.070 0.385 1
H20 H 0.999 0.724 0.982 1
O1 O 0.004 0.436 0.982 1
O2 O 0.007 0.182 0.982 1
O3 O 0.010 0.122 0.642 1
O4 O 0.219 0.943 0.484 1
O5 O 0.238 0.300 0.531 1
O6 O 0.239 0.695 0.502 1
O7 O 0.243 0.317 0.785 1
O8 O 0.244 0.600 0.150 1
O9 O 0.249 0.986 0.121 1
O10 O 0.252 0.966 0.876 1
O11 O 0.255 0.352 0.160 1
O12 O 0.331 0.151 0.303 1
O13 O 0.493 0.492 0.613 1
O14 O 0.494 0.804 0.029 1
O15 O 0.495 0.180 0.981 1
O16 O 0.495 0.481 0.358 1
O17 O 0.496 0.810 0.281 1
O18 O 0.499 0.431 0.973 1
O19 O 0.502 0.103 0.674 1
O20 O 0.615 0.698 0.780 1
O21 O 0.728 0.932 0.501 1
O22 O 0.736 0.687 0.498 1
O23 O 0.748 0.599 0.152 1
O24 O 0.752 0.308 0.538 1
O25 O 0.752 0.975 0.865 1
O26 O 0.752 0.990 0.110 1
O27 O 0.754 0.328 0.783 1
O28 O 0.759 0.347 0.167 1
O29 O 0.874 0.154 0.371 1
O30 O 0.951 0.825 0.684 1
O31 O 0.990 0.805 0.296 1
O32 O 0.992 0.496 0.616 1
O33 O 0.996 0.801 0.032 1
O34 O 0.997 0.483 0.353 1
```

Summary:
Size of the total moment: 19.92 μB/cell
Mass density: 3.7 g/cm³

***

The least stable of them is 1.

***

## 1
A plane-wave DFT calculation with PBE with a Hubbard U was carried out for a geometry-optimized Fe8H10O17 structure.

The structure in CIF format:
```
data_Fe8H10O17
_symmetry_space_group_name_H-M 'P 1'
_symmetry_Int_Tables_number 1
_cell_length_a 5.938
_cell_length_b 9.463
_cell_length_c 10.745
_cell_angle_alpha 84.22
_cell_angle_beta 89.28
_cell_angle_gamma 89.07
loop_
_symmetry_equiv_pos_as_xyz
'x,y,z'
loop_
_atom_site_label
_atom_site_type_symbol
_atom_site_fract_x
_atom_site_fract_y
_atom_site_fract_z
_atom_site_occupancy
Fe1 Fe 0.000 0.000 0.000 1
Fe2 Fe 0.001 0.163 0.477 1
Fe3 Fe 0.005 0.518 0.197 1
Fe4 Fe 0.018 0.625 0.695 1
Fe5 Fe 0.234 0.032 0.707 1
Fe6 Fe 0.246 0.181 0.185 1
Fe7 Fe 0.256 0.644 0.979 1
Fe8 Fe 0.257 0.489 0.503 1
Fe9 Fe 0.497 0.999 0.000 1
Fe10 Fe 0.502 0.162 0.470 1
Fe11 Fe 0.504 0.472 0.806 1
Fe12 Fe 0.515 0.523 0.216 1
Fe13 Fe 0.743 0.029 0.706 1
Fe14 Fe 0.746 0.492 0.505 1
Fe15 Fe 0.750 0.161 0.187 1
Fe16 Fe 0.769 0.642 0.979 1
H1 H 0.007 0.650 0.383 1
H2 H 0.013 0.818 0.857 1
H3 H 0.149 0.371 0.915 1
H4 H 0.229 0.918 0.491 1
H5 H 0.243 0.954 0.207 1
H6 H 0.254 0.762 0.163 1
H7 H 0.260 0.351 0.327 1
H8 H 0.264 0.226 0.871 1
H9 H 0.391 0.711 0.537 1
H10 H 0.482 0.825 0.676 1
H11 H 0.486 0.274 0.661 1
H12 H 0.493 0.391 0.026 1
H13 H 0.497 0.819 0.862 1
H14 H 0.659 0.674 0.639 1
H15 H 0.723 0.910 0.498 1
H16 H 0.734 0.224 0.860 1
H17 H 0.747 0.857 0.161 1
H18 H 0.762 0.344 0.323 1
H19 H 0.857 0.331 0.755 1
H20 H 0.995 0.865 0.627 1
O1 O 0.001 0.455 0.616 1
O2 O 0.003 0.122 0.302 1
O3 O 0.013 0.795 0.950 1
O4 O 0.025 0.511 0.019 1
O5 O 0.227 0.695 0.540 1
O6 O 0.239 0.011 0.522 1
O7 O 0.246 0.055 0.886 1
O8 O 0.248 0.930 0.120 1
O9 O 0.259 0.300 0.450 1
O10 O 0.260 0.335 0.856 1
O11 O 0.260 0.655 0.161 1
O12 O 0.263 0.392 0.229 1
O13 O 0.271 0.616 0.807 1
O14 O 0.486 0.164 0.659 1
O15 O 0.489 0.898 0.733 1
O16 O 0.495 0.124 0.300 1
O17 O 0.497 0.441 0.628 1
O18 O 0.499 0.184 0.068 1
O19 O 0.502 0.789 0.956 1
O20 O 0.504 0.544 0.391 1
O21 O 0.505 0.496 0.007 1
O22 O 0.734 0.008 0.522 1
O23 O 0.746 0.050 0.885 1
O24 O 0.747 0.957 0.121 1
O25 O 0.748 0.692 0.560 1
O26 O 0.749 0.328 0.827 1
O27 O 0.749 0.609 0.802 1
O28 O 0.755 0.649 0.167 1
O29 O 0.758 0.299 0.454 1
O30 O 0.759 0.376 0.226 1
O31 O 0.984 0.153 0.665 1
O32 O 0.994 0.882 0.716 1
O33 O 0.996 0.178 0.068 1
O34 O 0.998 0.547 0.380 1
```

Summary:
Size of the total moment: 15.93 μB/cell
Mass density: 4.0 g/cm³

***

## 2
A plane-wave DFT calculation with PBE with a Hubbard U was carried out for a geometry-optimized Fe8H10O17 structure.

The structure in CIF format:
```
data_Fe8H10O17
_symmetry_space_group_name_H-M 'P 1'
_symmetry_Int_Tables_number 1
_cell_length_a 6.013
_cell_length_b 9.894
_cell_length_c 10.533
_cell_angle_alpha 94.95
_cell_angle_beta 90.59
_cell_angle_gamma 90.15
loop_
_symmetry_equiv_pos_as_xyz
'x,y,z'
loop_
_atom_site_label
_atom_site_type_symbol
_atom_site_fract_x
_atom_site_fract_y
_atom_site_fract_z
_atom_site_occupancy
Fe1 Fe 0.000 0.000 0.000 1
Fe2 Fe 0.000 0.341 0.268 1
Fe3 Fe 0.233 0.830 0.769 1
Fe4 Fe 0.246 0.481 0.500 1
Fe5 Fe 0.252 0.321 0.976 1
Fe6 Fe 0.260 0.019 0.306 1
Fe7 Fe 0.496 0.484 0.796 1
Fe8 Fe 0.499 0.003 0.995 1
Fe9 Fe 0.501 0.339 0.263 1
Fe10 Fe 0.513 0.996 0.604 1
Fe11 Fe 0.746 0.321 0.978 1
Fe12 Fe 0.751 0.817 0.775 1
Fe13 Fe 0.757 0.476 0.499 1
Fe14 Fe 0.759 0.996 0.303 1
Fe15 Fe 0.990 0.834 0.483 1
Fe16 Fe 0.993 0.495 0.788 1
H1 H 0.007 0.653 0.611 1
H2 H 0.132 0.770 0.196 1
H3 H 0.247 0.180 0.152 1
H4 H 0.258 0.784 0.027 1
H5 H 0.262 0.556 0.253 1
H6 H 0.284 0.572 0.005 1
H7 H 0.291 0.234 0.612 1
H8 H 0.386 0.797 0.190 1
H9 H 0.418 0.214 0.743 1
H10 H 0.486 0.652 0.666 1
H11 H 0.517 0.240 0.467 1
H12 H 0.573 0.704 0.527 1
H13 H 0.656 0.760 0.363 1
H14 H 0.733 0.809 0.065 1
H15 H 0.746 0.598 0.976 1
H16 H 0.753 0.174 0.157 1
H17 H 0.754 0.553 0.257 1
H18 H 0.906 0.054 0.711 1
H19 H 0.917 0.112 0.574 1
H20 H 0.964 0.240 0.775 1
O1 O 0.000 0.355 0.455 1
O2 O 0.000 0.359 0.091 1
O3 O 0.010 0.009 0.423 1
O4 O 0.010 0.633 0.513 1
O5 O 0.015 0.966 0.186 1
O6 O 0.238 0.862 0.588 1
O7 O 0.249 0.453 0.679 1
O8 O 0.251 0.130 0.009 1
O9 O 0.251 0.213 0.248 1
O10 O 0.255 0.854 0.967 1
O11 O 0.256 0.472 0.297 1
O12 O 0.257 0.512 0.928 1
O13 O 0.273 0.719 0.182 1
O14 O 0.342 0.162 0.663 1
O15 O 0.489 0.679 0.760 1
O16 O 0.496 0.336 0.449 1
O17 O 0.497 0.305 0.856 1
O18 O 0.500 0.959 0.187 1
O19 O 0.501 0.361 0.091 1
O20 O 0.503 0.955 0.791 1
O21 O 0.516 0.038 0.425 1
O22 O 0.519 0.608 0.504 1
O23 O 0.719 0.841 0.588 1
O24 O 0.732 0.450 0.676 1
O25 O 0.744 0.847 0.983 1
O26 O 0.749 0.128 0.010 1
O27 O 0.750 0.469 0.299 1
O28 O 0.750 0.515 0.919 1
O29 O 0.752 0.204 0.253 1
O30 O 0.794 0.797 0.331 1
O31 O 0.831 0.120 0.654 1
O32 O 0.984 0.957 0.809 1
O33 O 0.993 0.309 0.849 1
O34 O 0.997 0.684 0.757 1
```

Summary:
Size of the total moment: 33.92 μB/cell
Mass density: 3.9 g/cm³

***

The least stable of them is 1.